Entry 1:
Material: V5ReMo4
Method: DFT, PBE-GGA
State: relaxed

```
10
Lattice="-2.6861 1.3759 -0.5331 -0.9314 -0.7221 2.8290 5.7283 13.2219 5.2606" Properties=species:S:1:pos:R:3 pbc="T T T"
Mo 1.1400 2.6312 1.0469
Mo 2.2889 5.2833 2.1021
Mo 3.4394 7.9386 3.1585
Mo 4.5883 10.5907 4.2137
V 3.3553 12.2463 5.8903
V 2.2064 9.5946 4.8353
V -0.0956 4.2811 2.7212
V -1.2444 1.6294 1.6662
V 1.0554 6.9378 3.7783
Re 0.0000 0.0000 0.0000
```

## Properties
ΔH_f (0 K)   -0.189 eV per atom
SG   P4/mmm
Total magnetic moment   0.00 μB per cell


Entry 2:
Material: V4ReMo
Method: DFT, PBE-GGA
State: relaxed

```
6
Lattice="4.1544 0.0001 -0.0010 0.0000 4.1548 -0.0018 0.0034 0.0045 5.8906" Properties=species:S:1:pos:R:3 pbc="T T T"
V 2.0836 4.1441 1.4726
V 0.0081 2.0695 4.3928
V 0.0061 2.0672 1.4741
V 2.0850 4.1475 4.3914
Re 0.0070 4.1459 2.9325
Mo 2.0859 2.0708 5.8782
```

## Properties
ΔH_f (0 K)   0.635 eV per atom
SG   P4/mmm
Total magnetic moment   0.00 μB per cell
Offset from the most stable computed form   72.0 kJ/mol of atoms


Entry 3:
Material: V3ReMo6
Method: DFT, PBE-GGA
State: relaxed

```
20
Lattice="2.6693 0.4406 -0.2815 1.7378 10.2497 -2.6426 -0.8116 1.0876 11.1095" Properties=species:S:1:pos:R:3 pbc="T T T"
Mo 2.5467 3.0408 2.4848
Mo 1.1471 2.0944 5.1016
Mo 1.0488 8.7371 5.7007
Mo -0.2506 1.0605 7.6956
Mo 1.4528 3.0477 9.3586
Mo 1.7337 6.1544 -0.4849
Mo 1.8619 5.6235 8.6704
Mo 0.6138 6.1401 6.3268
Mo 2.9817 5.6378 1.8587
Mo 2.1427 8.7302 -1.1731
Mo 3.8461 10.7175 0.4899
Mo 2.4484 9.6835 3.0839
V 2.0237 7.1607 3.7599
V 0.1922 3.6308 7.0149
V 3.4033 8.1471 1.1706
V 1.5718 4.6172 4.4256
V 2.7655 10.7641 7.3664
V 0.8300 1.0138 0.8191
Re 1.2765 3.5470 0.1867
Re 2.3191 8.2309 7.9988
```

## Properties
ΔH_f (0 K)   -0.097 eV per atom
SG   P-1
Total magnetic moment   0.00 μB per cell


Entry 4:
Material: V4ReMo3
Method: DFT, PBE-GGA
State: relaxed

```
16
Lattice="4.3339 0.0000 0.0000 0.0000 6.1251 0.0000 0.0000 0.0000 8.6687" Properties=species:S:1:pos:R:3 pbc="T T T"
Mo 2.1671 0.0000 6.5015
Mo 2.1664 3.0625 2.1672
Mo 2.1668 0.0000 2.1672
Mo 2.1675 3.0625 6.5015
Mo 0.0000 0.0000 0.0000
Mo 0.0000 0.0000 4.3344
V 4.3335 1.5392 2.1672
V 0.0004 4.5858 6.5015
V 2.1670 4.5858 0.0000
V 4.3335 4.5858 2.1672
V 0.0004 1.5392 6.5015
V 2.1670 1.5392 0.0000
V 2.1670 4.5858 4.3344
V 2.1670 1.5392 4.3344
Re 0.0000 3.0625 0.0000
Re 0.0000 3.0625 4.3344
```

## Properties
ΔH_f (0 K)   -0.213 eV per atom
SG   P4/mmm
Total magnetic moment   0.03 μB per cell


Entry 5:
Material: V4Re2Mo3
Method: DFT, PBE-GGA
State: relaxed

```
18
Lattice="4.7422 -0.0185 -0.0133 0.1641 7.5437 -0.6084 0.1641 1.8547 7.3374" Properties=species:S:1:pos:R:3 pbc="T T T"
Mo 2.6410 8.0687 6.6913
Mo 2.4294 1.3112 0.0245
Mo 0.0583 0.4550 1.2400
Mo 3.7207 4.6836 3.3570
Mo 5.0121 8.9250 5.4758
Mo 1.3496 4.6964 3.3588
V 4.8499 7.2101 3.0710
V 2.5237 6.8383 1.7395
V 4.8948 3.8408 5.9065
V 0.2205 2.1698 3.6448
V 0.1756 5.5391 0.8093
V 2.5467 2.5416 4.9763
V 2.4788 5.2397 5.8427
V 2.5916 4.1403 0.8731
Re 4.8693 6.3427 5.6392
Re 0.2011 3.0373 1.0766
Re 2.4982 7.3914 4.1940
Re 2.5722 1.9886 2.5218
```

## Properties
ΔH_f (0 K)   0.057 eV per atom
SG   C2/c
Total magnetic moment   0.00 μB per cell


Entry 6:
Material: V2Re2Mo3
Method: DFT, PBE-GGA
State: relaxed

```
7
Lattice="4.3651 0.0000 0.0000 -2.1825 4.6569 0.2424 0.0000 -0.7936 5.0853" Properties=species:S:1:pos:R:3 pbc="T T T"
Mo 0.0000 2.5369 0.8879
Mo 0.0000 0.0000 0.0000
Mo 2.1825 1.3265 4.4398
Re 2.1825 0.4524 1.5192
Re 0.0000 3.4109 3.8085
V 2.1825 2.9828 2.3586
V 0.0000 0.8805 2.9691
```

## Properties
ΔH_f (0 K)   -0.160 eV per atom
SG   C2/m
Total magnetic moment   0.00 μB per cell


Entry 7:
Material: V5ReMo2
Method: DFT, PBE-GGA
State: relaxed

```
16
Lattice="-1.9989 0.1403 3.9135 -3.0116 -3.9354 -1.3972 6.7868 -6.5074 3.6999" Properties=species:S:1:pos:R:3 pbc="T T T"
V 1.2694 -2.2204 0.7280
V 1.8876 -5.2214 1.1513
V -0.2675 -4.1583 0.0125
V -1.2278 -1.9917 1.9140
V 4.0427 -6.2845 2.2902
V 0.0000 0.0000 0.0000
V 2.6733 -4.5820 3.9995
V 2.5058 -8.2223 1.5747
V -0.8970 -5.7204 2.2167
V 3.0041 -8.3107 4.3022
Re 3.3934 -3.2537 1.8499
Re -1.5058 -1.9677 -0.6986
Mo -2.6357 -4.0494 1.2686
Mo 4.4120 -6.2530 4.9475
Mo 1.2620 -6.6441 3.3525
Mo 0.5143 -3.6583 2.8636
```

## Properties
ΔH_f (0 K)   -0.105 eV per atom
SG   Pbam
Total magnetic moment   0.00 μB per cell


Entry 8:
Material: V14ReMo
Method: DFT, PBE-GGA
State: relaxed

```
16
Lattice="-2.7684 -4.3795 -0.6412 1.0181 0.6438 5.0797 -7.2168 4.4324 0.8846" Properties=species:S:1:pos:R:3 pbc="T T T"
V 0.5449 0.0161 4.3648
V -6.3328 1.7659 1.0605
V -3.5724 1.9106 2.2675
V -4.4475 0.0428 4.4867
V -5.8792 2.1187 3.6012
V -2.7075 -0.4607 0.6162
V -4.0348 -2.6780 0.2914
V -7.2066 -0.0989 3.2762
V -7.7669 -0.3858 0.7489
V 0.0358 -0.3060 1.8249
V -1.3484 -2.4957 1.5042
V -3.5812 -2.3254 2.8318
V -2.1469 -0.1736 3.1437
V -0.8394 -2.1737 4.0440
Re -4.9567 -0.2793 1.9467
Mo -3.0634 2.2324 4.8072
```

## Properties
ΔH_f (0 K)   -0.086 eV per atom
SG   Cmmm
Total magnetic moment   0.00 μB per cell


Entry 9:
Material: V2ReMo5
Method: DFT, PBE-GGA
State: relaxed

```
16
Lattice="3.1197 0.0000 0.0000 0.0000 6.2321 0.0000 0.0000 0.0000 12.4681" Properties=species:S:1:pos:R:3 pbc="T T T"
V 1.5598 1.5444 7.7839
V 1.5598 1.5717 1.5499
V 1.5598 4.6877 4.6841
V 1.5598 4.6604 10.9182
Re 0.0000 0.0000 6.2340
Re 0.0000 3.1161 0.0000
Mo 1.5598 1.5492 10.9061
Mo 1.5598 4.6652 7.7960
Mo 1.5598 4.6830 1.5620
Mo 0.0000 3.1275 3.1047
Mo 0.0000 0.0114 3.1293
Mo 0.0000 3.1161 6.2340
Mo 1.5598 1.5669 4.6721
Mo 0.0000 0.0000 0.0000
Mo 0.0000 3.1046 9.3633
Mo 0.0000 6.2207 9.3388
```

## Properties
ΔH_f (0 K)   -0.123 eV per atom
SG   Pbam
Total magnetic moment   0.00 μB per cell


Entry 10:
Material: V4ReMo
Method: DFT, PBE-GGA
State: relaxed

```
12
Lattice="-4.8277 0.2940 -1.4678 2.7500 -3.8467 -1.7840 -2.0546 -4.2115 5.9140" Properties=species:S:1:pos:R:3 pbc="T T T"
V -0.5534 -5.8100 3.6951
V 0.2151 -4.0312 -1.1886
V -1.5085 -2.8052 0.6896
V -1.5924 -3.1807 3.6026
V -3.5789 -1.9543 -1.0329
V -2.5399 -4.5836 -0.9404
V -2.6238 -4.9591 1.9726
V -4.3474 -3.7331 3.8508
Re 0.0000 0.0000 0.0000
Re -3.4411 -1.9588 2.2231
Mo 0.3477 -4.0291 2.0650
Mo -1.0389 -1.7764 -1.6259
```

## Properties
ΔH_f (0 K)   -0.111 eV per atom
SG   P2_1/c
Total magnetic moment   0.00 μB per cell
Offset from the most stable computed form   0.0 kJ/mol of atoms


Entry 11:
Material: V2Re2Mo5
Method: DFT, PBE-GGA
State: relaxed

```
18
Lattice="5.5095 0.0010 -2.4719 -1.4580 6.7118 -3.2468 0.2703 -0.3869 7.9671" Properties=species:S:1:pos:R:3 pbc="T T T"
Mo 5.2281 0.2095 1.4644
Mo 0.6053 1.3764 6.0799
Mo 4.2577 2.1620 -0.8035
Mo -0.3361 3.3456 3.7058
Mo 3.5140 0.6686 5.1866
Mo 2.2411 4.1637 2.0743
Mo 0.1762 4.9493 -2.2444
Mo 1.1901 6.1164 -0.1573
Mo 1.3252 2.9794 0.0368
Mo 2.7775 5.6563 -3.8222
V 1.2084 1.5297 2.5013
V 3.2536 4.7967 -0.3148
V 2.0652 3.3567 -2.8756
V 0.0392 0.0010 -0.0166
Re 2.5314 0.6787 0.4658
Re 3.6614 2.1412 2.9815
Re 0.1450 5.6470 2.5212
Re 4.5244 4.1856 -2.4665
```

## Properties
ΔH_f (0 K)   0.509 eV per atom
SG   Ima2
Total magnetic moment   0.00 μB per cell


Entry 12:
Material: V2ReMo6
Method: DFT, PBE-GGA
State: relaxed

```
9
Lattice="4.4044 -0.3986 -0.8900 -0.3581 3.9978 -3.5619 -0.5499 -0.6098 9.0718" Properties=species:S:1:pos:R:3 pbc="T T T"
Mo 2.8635 -0.2368 2.8869
Mo 1.5517 0.2009 7.6781
Mo 1.9448 2.7884 -3.0583
Mo 2.6589 1.6464 1.0348
Mo 0.8374 1.3430 3.5851
Mo 0.6328 3.2261 1.7330
Re 0.0000 0.0000 0.0000
V 0.0899 2.5323 -0.6808
V 3.4065 0.4571 5.3007
```

## Properties
ΔH_f (0 K)   0.392 eV per atom
SG   P-1
Total magnetic moment   0.00 μB per cell
Offset from the most stable computed form   35.9 kJ/mol of atoms